A plane-wave DFT calculation with PBE was carried out for AlTlSb2 after structural relaxation.

a = 6.4990 Å, b = 6.4990 Å, c = 7.9371 Å
α = 65.83°, β = 65.83°, γ = 90.00°
With the nearest neighbours (Å) after each atom.
Fractional coordinates of all 8 atoms:
1 Sb 0.5958 0.1250 0.2500  2 Al 2.70, 2 Tl 2.92
2 Sb 0.1542 0.6250 0.2500  2 Al 2.70, 2 Tl 2.92
3 Sb 0.3750 0.4042 0.7500  2 Al 2.70, 2 Tl 2.92
4 Sb 0.8750 0.8458 0.7500  2 Al 2.70, 2 Tl 2.92
5 Tl 0.0000 0.0000 0.0000  4 Sb 2.92
6 Tl 0.7500 0.2500 0.5000  4 Sb 2.92
7 Al 0.5000 0.5000 0.0000  4 Sb 2.70
8 Al 0.2500 0.7500 0.5000  4 Sb 2.70

Values from the calculation:
Energy above the most stable polymorph in this dataset in eV/atom: 0.0000
E_form (uncorrected) in eV per formula unit: -0.04
SG: I-42d (122)
DOS(E_F) in states/eV per atom: 0.00